AlTeAu, optimized geometry, DFT PBE-GGA; E_form (uncorrected) = -0.26 eV/atom; energy above the most stable polymorph in this dataset = 0.070 eV/atom; symmetry = P-1
1.0
-4.007 -1.360 0.125
0.751 -2.601 -5.208
0.145 -6.973 0.263
Au Te Al
2 2 2
Direct
0.642 0.189 0.712 Au
0.358 0.811 0.288 Au
0.086 0.831 0.819 Te
0.914 0.169 0.181 Te
0.155 0.445 0.687 Al
0.845 0.555 0.313 Al

=====

AlTe2Au, optimized geometry, DFT PBE-GGA; E_form (uncorrected) = -0.29 eV/atom; symmetry = Pna2_1
1.0
-4.494 -6.078 0.889
4.809 -4.433 -6.004
4.367 -2.452 5.308
Te Al Au
8 4 4
Direct
0.066 0.377 0.638 Te
0.089 0.875 0.616 Te
0.566 0.123 0.638 Te
0.411 0.375 0.116 Te
0.589 0.625 0.616 Te
0.934 0.623 0.138 Te
0.911 0.125 0.116 Te
0.434 0.877 0.138 Te
0.076 0.373 0.005 Al
0.924 0.627 0.505 Al
0.424 0.873 0.505 Al
0.576 0.127 0.005 Al
0.897 0.126 0.491 Au
0.603 0.626 0.991 Au
0.103 0.874 0.991 Au
0.397 0.374 0.491 Au

=====

Al2TeAu, optimized geometry, DFT PBE-GGA; E_form (uncorrected) = 0.05 eV/atom; symmetry = P4mm
1.0
3.144 0.000 0.000
0.000 3.144 0.000
0.000 0.000 8.526
Te Al Au
1 2 1
Direct
0.500 0.500 0.773 Te
0.500 0.500 0.259 Al
0.000 0.000 0.035 Al
0.000 0.000 0.432 Au

=====

AlTe2Au, optimized geometry, DFT PBE-GGA; E_form (uncorrected) = -0.29 eV/atom; symmetry = Cm
1.0
6.134 -0.065 -0.027
-2.999 7.709 -0.018
-0.001 -2.429 5.625
Te Au Al
4 2 2
Direct
0.488 0.154 0.125 Te
0.216 0.610 0.264 Te
0.805 0.610 0.853 Te
0.077 0.154 0.535 Te
0.749 0.088 0.797 Au
0.544 0.676 0.592 Au
0.396 0.382 0.944 Al
0.897 0.382 0.445 Al

=====

AlTe2Au, optimized geometry, DFT PBE-GGA; E_form (uncorrected) = -0.29 eV/atom; symmetry = P-1
1.0
7.037 -0.013 0.017
0.085 5.466 0.001
0.569 -0.009 6.632
Te Al Au
4 2 2
Direct
0.648 0.159 0.960 Te
0.145 0.604 0.915 Te
0.154 0.171 0.414 Te
0.639 0.593 0.461 Te
0.896 0.382 0.688 Al
0.896 0.382 0.186 Al
0.896 0.883 0.201 Au
0.896 0.881 0.674 Au

=====

AlTeAu, optimized geometry, DFT PBE-GGA; E_form (uncorrected) = 0.04 eV/atom; energy above the most stable polymorph in this dataset = 0.366 eV/atom; symmetry = I4mm
1.0
6.752 0.012 0.000
5.180 4.331 0.000
-5.966 -2.171 2.298
Te Al Au
1 1 1
Direct
0.653 0.653 0.000 Te
0.976 0.976 0.000 Al
0.371 0.371 0.000 Au

=====

AlTeAu2, optimized geometry, DFT PBE-GGA; E_form (uncorrected) = -0.16 eV/atom; energy above the most stable polymorph in this dataset = 0.000 eV/atom; symmetry = Cm
1.0
-3.878 -0.671 -1.938
-0.224 -0.757 -4.315
0.279 -5.490 0.627
Te Au Al
1 2 1
Direct
0.449 0.449 0.493 Te
0.007 0.007 0.152 Au
0.698 0.698 0.859 Au
0.346 0.346 0.996 Al

=====

AlTe2Au, optimized geometry, DFT PBE-GGA; E_form (uncorrected) = 0.01 eV/atom; symmetry = Imm2
1.0
7.540 -0.055 -0.005
5.562 5.091 0.005
-6.555 -2.509 2.756
Te Au Al
2 1 1
Direct
0.752 0.252 0.500 Te
0.014 0.014 0.000 Te
0.293 0.793 0.500 Au
0.441 0.441 0.000 Al

=====

AlTe2Au, optimized geometry, DFT PBE-GGA; E_form (uncorrected) = 0.25 eV/atom; symmetry = P4/mmm
1.0
-2.133 -0.019 2.845
-2.621 -1.370 -1.974
2.288 -6.782 1.671
Al Au Te
1 1 2
Direct
0.500 0.500 0.250 Al
0.500 0.500 0.750 Au
0.000 0.000 0.011 Te
0.000 0.000 0.489 Te

=====

Al2TeAu, optimized geometry, DFT PBE-GGA; E_form (uncorrected) = -0.12 eV/atom; symmetry = I-42d
1.0
-4.826 -0.547 -3.879
-2.412 -4.434 3.627
-6.489 1.527 2.878
Te Au Al
2 2 4
Direct
0.250 0.750 0.500 Te
0.500 0.500 0.000 Te
0.750 0.250 0.500 Au
0.000 0.000 0.000 Au
0.875 0.915 0.750 Al
0.375 0.335 0.750 Al
0.085 0.625 0.250 Al
0.665 0.125 0.250 Al

=====

AlTe3Au, optimized geometry, DFT PBE-GGA; E_form (uncorrected) = 0.52 eV/atom; energy above the most stable polymorph in this dataset = 0.000 eV/atom; symmetry = Pm-3m
1.0
-0.332 1.658 5.222
-4.790 -2.628 0.530
2.660 -4.525 1.606
Te Au Al
3 1 1
Direct
0.500 0.000 0.000 Te
0.000 0.000 0.500 Te
0.000 0.500 0.000 Te
0.000 0.000 0.000 Au
0.500 0.500 0.500 Al

=====

AlTe4Au, optimized geometry, DFT PBE-GGA; E_form (uncorrected) = 0.57 eV/atom; symmetry = F-43m
1.0
0.000 4.478 4.478
4.478 0.000 4.478
4.478 4.478 0.000
Au Te Al
1 4 1
Direct
0.000 0.000 0.000 Au
0.374 0.374 0.879 Te
0.374 0.374 0.374 Te
0.879 0.374 0.374 Te
0.374 0.879 0.374 Te
0.750 0.750 0.750 Al

=====

AlTlTe2Au, optimized geometry, DFT PBE-GGA; E_form (uncorrected) = 0.87 eV/atom; symmetry = P4/mmm
1.0
5.808 0.000 0.000
0.000 5.226 0.000
0.000 0.000 5.808
Tl Au Al Te
1 1 1 2
Direct
0.000 0.000 0.000 Tl
0.500 0.500 0.500 Au
0.000 0.500 0.000 Al
0.500 0.000 0.000 Te
0.000 0.000 0.500 Te

=====

ThAlAu11, optimized geometry, DFT PBE-GGA; DFT formation energy = -0.2490 eV per atom; symmetry = C2/m
1.0
0.262 0.945 5.442
1.545 -6.092 3.527
6.695 1.819 2.171
Au Th Al
11 1 1
Direct
0.000 0.000 0.500 Au
0.000 0.500 0.000 Au
0.999 0.348 0.663 Au
0.500 0.000 0.500 Au
0.001 0.652 0.337 Au
0.520 0.216 0.793 Au
0.662 0.348 0.337 Au
0.688 0.784 0.793 Au
0.338 0.652 0.663 Au
0.480 0.784 0.207 Au
0.312 0.216 0.207 Au
0.000 0.000 0.000 Th
0.500 0.500 0.000 Al

=====

Th2AlAu3, optimized geometry, DFT PBE-GGA; DFT formation energy = -0.5678 eV per atom; energy above the most stable polymorph in this dataset = 0.117 eV/atom; symmetry = Imm2
1.0
4.345 0.000 -1.156
-0.282 3.724 -1.058
0.025 0.489 8.832
Th Au Al
2 3 1
Direct
0.868 0.368 0.737 Th
0.131 0.131 0.261 Th
0.301 0.801 0.602 Au
0.705 0.705 0.410 Au
0.542 0.542 0.084 Au
0.453 0.953 0.906 Al

=====

Th3Al9Au2, optimized geometry, DFT PBE-GGA; DFT formation energy = -0.4683 eV per atom; symmetry = Immm
1.0
-2.995 -0.969 -3.045
-2.292 -7.966 1.638
-7.439 0.693 3.946
Al Th Au
9 3 2
Direct
0.666 0.705 0.962 Al
0.868 0.857 0.407 Al
0.334 0.295 0.038 Al
0.132 0.143 0.593 Al
0.000 0.500 0.500 Al
0.868 0.407 0.857 Al
0.132 0.593 0.143 Al
0.666 0.962 0.705 Al
0.334 0.038 0.295 Al
0.684 0.316 0.316 Th
0.000 0.000 0.000 Th
0.316 0.684 0.684 Th
0.500 0.724 0.276 Au
0.500 0.276 0.724 Au

=====

Th4AlAu2, optimized geometry, DFT PBE-GGA; DFT formation energy = -0.2123 eV per atom; symmetry = R-3m
1.0
5.229 0.000 0.000
2.615 4.529 0.000
2.615 1.510 8.572
Au Th Al
2 4 1
Direct
0.396 0.396 0.813 Au
0.604 0.604 0.187 Au
0.281 0.281 0.158 Th
0.127 0.127 0.618 Th
0.873 0.873 0.382 Th
0.719 0.719 0.842 Th
0.500 0.500 0.500 Al

=====

Th3Al4Au2, optimized geometry, DFT PBE-GGA; DFT formation energy = -0.5635 eV per atom; symmetry = C2/m
1.0
-2.613 1.376 3.467
-1.710 -5.331 -2.164
6.659 -1.336 5.548
Au Th Al
2 3 4
Direct
0.398 0.795 0.728 Au
0.602 0.205 0.272 Au
0.000 0.000 0.000 Th
0.328 0.656 0.337 Th
0.672 0.344 0.663 Th
0.728 0.457 0.063 Al
0.272 0.543 0.937 Al
0.042 0.084 0.379 Al
0.958 0.916 0.621 Al

=====

ThAl2Au8, optimized geometry, DFT PBE-GGA; DFT formation energy = -0.2552 eV per atom; symmetry = P4/mmm
1.0
-4.419 2.681 -4.158
3.416 -2.379 -5.165
-2.953 -4.606 0.169
Au Al Th
8 2 1
Direct
0.218 0.782 0.750 Au
0.782 0.218 0.750 Au
0.782 0.782 0.250 Au
0.218 0.218 0.250 Au
0.218 0.218 0.750 Au
0.782 0.218 0.250 Au
0.782 0.782 0.750 Au
0.218 0.782 0.250 Au
0.000 0.500 0.000 Al
0.500 0.000 0.000 Al
0.500 0.500 0.500 Th

=====

Th2Al5Au, optimized geometry, DFT PBE-GGA; DFT formation energy = -0.3620 eV per atom; symmetry = I4mm
1.0
-0.130 2.926 -5.637
-5.040 -0.021 3.868
3.332 2.315 4.888
Al Th Au
5 2 1
Direct
0.000 0.255 0.255 Al
0.540 0.285 0.285 Al
0.000 0.745 0.285 Al
0.000 0.285 0.745 Al
0.460 0.745 0.745 Al
0.500 0.765 0.265 Th
0.500 0.265 0.765 Th
0.000 0.877 0.877 Au

=====

ThAl2Au, optimized geometry, DFT PBE-GGA; DFT formation energy = -0.5150 eV per atom; symmetry = R-3m
1.0
-0.542 -0.396 4.284
-0.889 -3.879 1.724
4.757 -2.368 2.578
Al Th Au
2 1 1
Direct
0.212 0.212 0.363 Al
0.788 0.788 0.637 Al
0.000 0.000 0.000 Th
0.500 0.500 0.500 Au

=====

ThAl2Au5, optimized geometry, DFT PBE-GGA; DFT formation energy = -0.4676 eV per atom; symmetry = Immm
1.0
-1.618 -3.704 0.570
5.187 -4.351 1.063
1.247 -1.794 6.496
Al Th Au
2 1 5
Direct
0.762 0.738 0.738 Al
0.238 0.262 0.262 Al
0.000 0.000 0.000 Th
0.636 0.575 0.153 Au
0.364 0.425 0.847 Au
0.000 0.500 0.500 Au
0.364 0.847 0.425 Au
0.636 0.153 0.575 Au

=====

ThAl3Au10, optimized geometry, DFT PBE-GGA; DFT formation energy = -0.3400 eV per atom; symmetry = P-1
1.0
-8.222 4.967 3.123
-0.100 3.219 8.211
1.091 8.831 2.495
Au Th Al
20 2 6
Direct
0.940 0.669 0.038 Au
0.658 0.000 0.941 Au
0.595 0.648 0.642 Au
0.682 0.019 0.376 Au
0.184 0.567 0.574 Au
0.963 0.027 0.656 Au
0.048 0.297 0.658 Au
0.658 0.398 0.020 Au
0.342 0.602 0.980 Au
0.384 0.802 0.419 Au
0.342 0.000 0.059 Au
0.616 0.198 0.581 Au
0.952 0.703 0.342 Au
0.816 0.433 0.426 Au
0.060 0.331 0.962 Au
0.405 0.352 0.358 Au
0.584 0.627 0.184 Au
0.416 0.373 0.816 Au
0.318 0.981 0.624 Au
0.037 0.973 0.344 Au
0.818 0.725 0.736 Th
0.182 0.275 0.264 Th
0.324 0.186 0.729 Al
0.231 0.720 0.210 Al
0.676 0.814 0.271 Al
0.816 0.298 0.235 Al
0.769 0.280 0.790 Al
0.184 0.702 0.765 Al

=====

Th2Al12Au7, optimized geometry, DFT PBE-GGA; DFT formation energy = -0.4883 eV per atom; symmetry = P-3
1.0
-2.884 -1.791 -2.347
-1.091 -7.634 7.167
-5.908 8.691 0.626
Al Th Au
12 2 7
Direct
0.741 0.886 0.736 Al
0.259 0.736 0.850 Al
0.746 0.380 0.948 Al
0.746 0.052 0.432 Al
0.741 0.850 0.114 Al
0.254 0.620 0.052 Al
0.746 0.568 0.620 Al
0.254 0.948 0.568 Al
0.741 0.264 0.150 Al
0.259 0.150 0.886 Al
0.259 0.114 0.264 Al
0.254 0.432 0.380 Al
0.735 0.667 0.333 Th
0.265 0.333 0.667 Th
0.763 0.587 0.880 Au
0.237 0.413 0.120 Au
0.763 0.293 0.413 Au
0.237 0.880 0.293 Au
0.763 0.120 0.707 Au
0.237 0.707 0.587 Au
0.500 0.000 0.000 Au

=====

| no. | uncorrected energy (eV/atom) |
| --- | --- |
| 1 | -3.65 |
| 2 | -3.62 |
| 3 | -3.42 |
| 4 | -3.62 |
| 5 | -3.61 |
| 6 | -3.35 |
| 7 | -3.52 |
| 8 | -3.32 |
| 9 | -3.08 |
| 10 | -3.60 |
| 11 | -2.77 |
| 12 | -2.69 |
| 13 | -2.26 |
| 14 | -3.88 |
| 15 | -5.30 |
| 16 | -4.93 |
| 17 | -5.92 |
| 18 | -5.43 |
| 19 | -3.99 |
| 20 | -4.97 |
| 21 | -5.06 |
| 22 | -4.38 |
| 23 | -4.01 |
| 24 | -4.43 |